1.
The following is a PBE calculation of a relaxed structure of Rb2MnRuCl6, from Alexandria.

Computed properties:
Density, g cm⁻³: 3.731
Energy, eV per atom: -4.25
M_tot, μB per atom: 0.5000

Geometry as CIF:
```
data_Rb2MnRuCl6
_chemical_formula_sum 'Rb2 Mn1 Ru1 Cl6'
_cell_length_a 7.2684
_cell_length_b 7.2684
_cell_length_c 6.8622
_cell_angle_alpha 58.02
_cell_angle_beta 58.02
_cell_angle_gamma 90.00
_space_group_name_H-M_alt 'P 1'
_space_group_IT_number 1
loop_
_space_group_symop_operation_xyz
'x,y,z'
loop_
_atom_site_label
_atom_site_type_symbol
_atom_site_fract_x
_atom_site_fract_y
_atom_site_fract_z
_atom_site_occupancy
Ru1 Ru 0.0000 0.0000 0.0000 1
Mn1 Mn 0.5000 0.5000 0.0000 1
Rb1 Rb 0.7500 0.2500 0.5000 1
Rb2 Rb 0.2500 0.7500 0.5000 1
Cl1 Cl 0.2541 0.2541 0.4917 1
Cl2 Cl 0.7459 0.7459 0.5083 1
Cl3 Cl 0.2392 0.2392 0.0000 1
Cl4 Cl 0.7608 0.7608 0.0000 1
Cl5 Cl 0.7608 0.2392 0.0000 1
Cl6 Cl 0.2392 0.7608 0.0000 1
```



2.
The following is a PBE calculation of a relaxed structure of RbMnSCl2, from Alexandria.

Computed properties:
Density, g cm⁻³: 2.042
M_tot, μB per atom: 1.3000
Energy relative to the lowest polymorph listed for this composition, meV per atom: 1495

Geometry as CIF:
```
data_RbMnSCl2
_chemical_formula_sum 'Rb1 Mn1 S1 Cl2'
_cell_length_a 5.8099
_cell_length_b 5.8099
_cell_length_c 5.8639
_cell_angle_alpha 90.00
_cell_angle_beta 90.00
_cell_angle_gamma 90.00
_space_group_name_H-M_alt 'P 1'
_space_group_IT_number 1
loop_
_space_group_symop_operation_xyz
'x,y,z'
loop_
_atom_site_label
_atom_site_type_symbol
_atom_site_fract_x
_atom_site_fract_y
_atom_site_fract_z
_atom_site_occupancy
S1 S 0.0000 0.0000 0.5000 1
Mn1 Mn 0.5000 0.5000 0.5000 1
Rb1 Rb 0.0000 0.0000 0.0000 1
Cl1 Cl 0.0000 0.5000 0.0000 1
Cl2 Cl 0.5000 0.0000 0.0000 1
```